# 1
Crystalline LaHg4 at its relaxed geometry. Source: the Alexandria database, functional PBE.

a b c (Å): 7.1282 7.1282 5.1213
angles (deg): 90.00 90.00 90.00
With the nearest neighbours (Å) after each atom.
Fractional coordinates of all 10 atoms:
La  0.0000  0.0000  0.0000  12 Hg 3.37-3.43
La  0.5000  0.5000  0.5000  12 Hg 3.37-3.43
Hg  0.0624  0.3001  0.5000  7 Hg 2.99-3.32
Hg  0.1999  0.5624  0.0000  7 Hg 2.99-3.32
Hg  0.3001  0.9376  0.5000  7 Hg 2.99-3.32
Hg  0.4376  0.1999  0.0000  7 Hg 2.99-3.32
Hg  0.5624  0.8001  0.0000  7 Hg 2.99-3.32
Hg  0.6999  0.0624  0.5000  7 Hg 2.99-3.32
Hg  0.8001  0.4376  0.0000  7 Hg 2.99-3.32
Hg  0.9376  0.6999  0.5000  7 Hg 2.99-3.32

Computed properties:
Fermi-level density of states = 3.3 states/eV per cell
Total moment = 0.0 μB per formula unit
Energy = -7.79 eV per formula unit
Space-group type = I4/m, No. 87
Energy above the most stable polymorph in this dataset = 0.01 eV/f.u.
Energy of formation = -32 kJ/mol of atoms
V = 260.2 Å³/cell

***

# 2
Crystalline La2Hg7 at its relaxed geometry. Source: the Alexandria database, functional PBE.

a b c (Å): 5.2611 5.2611 9.7725
angles (deg): 90.00 90.00 120.00
With the nearest neighbours (Å) after each atom.
Fractional coordinates of all 9 atoms:
La  0.3333  0.6667  0.2669  11 Hg 3.23-3.55
La  0.6667  0.3333  0.7331  11 Hg 3.23-3.55
Hg  0.0000  0.0000  0.1547  5 Hg 3.02-3.37, 3 La 3.23
Hg  0.0000  0.0000  0.5000  8 Hg 3.19-3.37
Hg  0.0000  0.0000  0.8453  5 Hg 3.02-3.37, 3 La 3.23
Hg  0.3333  0.6667  0.5991  4 Hg 3.14-3.19, 4 La 3.25-3.31
Hg  0.3333  0.6667  0.9208  7 Hg 3.13-3.41, 1 La 3.38
Hg  0.6667  0.3333  0.0792  7 Hg 3.13-3.41, 1 La 3.38
Hg  0.6667  0.3333  0.4009  4 Hg 3.14-3.19, 4 La 3.25-3.31

Computed properties:
Fermi-level density of states = 2.8 states/eV per cell
Total moment = 0.0 μB per formula unit
Energy = -15.36 eV per formula unit
Space-group type = P-3m1, No. 164
Energy of formation = -36 kJ/mol of atoms
V = 234.3 Å³/cell

***

# 3
Crystalline LaHg at its relaxed geometry. Source: the Alexandria database, functional PBE.

a b c (Å): 11.8924 11.8924 3.7401
angles (deg): 90.00 90.00 90.00
With the nearest neighbours (Å) after each atom.
Fractional coordinates of all 16 atoms:
La  0.1090  0.6328  0.0000  4 Hg 3.37-3.43, 6 La 3.69-3.76
La  0.1582  0.3628  0.5000  4 Hg 3.23-3.27
La  0.3628  0.8418  0.5000  4 Hg 3.23-3.27
La  0.3672  0.1090  0.0000  4 Hg 3.37-3.43, 6 La 3.69-3.76
La  0.6328  0.8910  0.0000  4 Hg 3.37-3.43, 6 La 3.69-3.76
La  0.6372  0.1582  0.5000  4 Hg 3.23-3.27
La  0.8418  0.6372  0.5000  4 Hg 3.23-3.27
La  0.8910  0.3672  0.0000  4 Hg 3.37-3.43, 6 La 3.69-3.76
Hg  0.0822  0.1537  0.0000  2 Hg 2.93, 2 La 3.24
Hg  0.1537  0.9178  0.0000  2 Hg 2.93, 2 La 3.24
Hg  0.3358  0.5682  0.5000  2 Hg 2.99, 2 La 3.23-3.27
Hg  0.4318  0.3358  0.5000  2 Hg 2.99, 2 La 3.23-3.27
Hg  0.5682  0.6642  0.5000  2 Hg 2.99, 2 La 3.23-3.27
Hg  0.6642  0.4318  0.5000  2 Hg 2.99, 2 La 3.23-3.27
Hg  0.8463  0.0822  0.0000  2 Hg 2.93, 2 La 3.24
Hg  0.9178  0.8463  0.0000  2 Hg 2.93, 2 La 3.24

Computed properties:
Fermi-level density of states = 15.6 states/eV per cell
Total moment = 0.0 μB per formula unit
Energy = -5.53 eV per formula unit
Space-group type = P4/m, No. 83
Energy of formation = -15 kJ/mol of atoms
V = 529.0 Å³/cell

***

# 4
Crystalline La3Hg5 at its relaxed geometry. Source: the Alexandria database, functional PBE.

a b c (Å): 9.3004 9.3004 6.4944
angles (deg): 90.00 90.00 59.96
With the nearest neighbours (Å) after each atom.
Fractional coordinates of all 16 atoms:
La  0.1894  0.4998  0.2500  5 Hg 3.10-3.27
La  0.1892  0.8108  0.7500  5 Hg 3.11-3.27
La  0.4998  0.1894  0.7500  5 Hg 3.10-3.27
La  0.5002  0.8106  0.2500  5 Hg 3.10-3.27
La  0.8108  0.1892  0.2500  5 Hg 3.11-3.27
La  0.8106  0.5002  0.7500  5 Hg 3.10-3.27
Hg  0.1468  0.5000  0.7500  5 La 3.10-3.27, 4 Hg 3.42
Hg  0.1471  0.8529  0.2500  5 La 3.11-3.27, 4 Hg 3.42
Hg  0.1667  0.1667  0.0000  8 Hg 3.25-3.42, 6 La 3.60
Hg  0.1667  0.1667  0.5000  8 Hg 3.25-3.42, 6 La 3.60
Hg  0.5000  0.1468  0.2500  5 La 3.10-3.27, 4 Hg 3.42
Hg  0.5000  0.8532  0.7500  5 La 3.10-3.27, 4 Hg 3.42
Hg  0.8333  0.8333  0.0000  8 Hg 3.25-3.42, 6 La 3.60
Hg  0.8333  0.8333  0.5000  8 Hg 3.25-3.42, 6 La 3.60
Hg  0.8529  0.1471  0.7500  5 La 3.11-3.27, 4 Hg 3.42
Hg  0.8532  0.5000  0.2500  5 La 3.10-3.27, 4 Hg 3.42

Computed properties:
Fermi-level density of states = 12.1 states/eV per cell
Total moment = 0.0 μB per formula unit
Energy = -19.31 eV per formula unit
Space-group type = Cmcm, No. 63
Energy above the most stable polymorph in this dataset = 0.78 eV/f.u.
Energy of formation = -36 kJ/mol of atoms
V = 486.3 Å³/cell

***

# 5
Crystalline La3Hg2 at its relaxed geometry. Source: the Alexandria database, functional PBE.

a b c (Å): 8.7981 6.6031 9.9783
angles (deg): 60.06 40.57 79.37
With the nearest neighbours (Å) after each atom.
Fractional coordinates of all 10 atoms:
La  0.0000  0.0000  0.0000  6 Hg 3.30-3.53, 2 La 3.66
La  0.2500  0.2500  0.2500  6 Hg 3.30-3.53, 2 La 3.66
La  0.4614  0.5559  0.3393  5 Hg 3.32-3.54, 4 La 3.40-3.66
La  0.5559  0.4614  0.6434  5 Hg 3.32-3.54, 4 La 3.40-3.66
La  0.6066  0.9107  0.6941  5 Hg 3.32-3.54, 4 La 3.40-3.66
La  0.9107  0.6066  0.7886  5 Hg 3.32-3.54, 4 La 3.40-3.66
Hg  0.1345  0.7830  0.2669  8 La 3.30-3.54, 2 Hg 3.69
Hg  0.4344  0.9831  0.4670  8 La 3.30-3.54, 2 Hg 3.69
Hg  0.7830  0.1345  0.8156  8 La 3.30-3.54, 2 Hg 3.69
Hg  0.9831  0.4344  0.1155  8 La 3.30-3.54, 2 Hg 3.69

Computed properties:
Fermi-level density of states = 12.6 states/eV per cell
Total moment = 0.0 μB per formula unit
Energy = -17.08 eV per formula unit
Space-group type = Fdd2, No. 43
Energy of formation = -33 kJ/mol of atoms
V = 306.6 Å³/cell

***

# 6
Crystalline LaHg at its relaxed geometry. Source: the Alexandria database, functional PBE.

a b c (Å): 11.8589 11.8589 3.7571
angles (deg): 90.00 90.00 90.00
With the nearest neighbours (Å) after each atom.
Fractional coordinates of all 16 atoms:
La  0.1229  0.3544  0.0000  4 Hg 3.30-3.33
La  0.1456  0.6229  0.5000  4 Hg 3.30-3.33
La  0.3544  0.8771  0.0000  4 Hg 3.30-3.33
La  0.3771  0.1456  0.5000  4 Hg 3.30-3.33
La  0.6229  0.8544  0.5000  4 Hg 3.30-3.33
La  0.6456  0.1229  0.0000  4 Hg 3.30-3.33
La  0.8544  0.3771  0.5000  4 Hg 3.30-3.33
La  0.8771  0.6456  0.0000  4 Hg 3.30-3.33
Hg  0.0756  0.8405  0.0000  2 Hg 2.96, 3 La 3.30
Hg  0.1595  0.0756  0.0000  2 Hg 2.96, 3 La 3.30
Hg  0.3405  0.4244  0.5000  2 Hg 2.96, 3 La 3.30
Hg  0.4244  0.6595  0.5000  2 Hg 2.96, 3 La 3.30
Hg  0.5756  0.3405  0.5000  2 Hg 2.96, 3 La 3.30
Hg  0.6595  0.5756  0.5000  2 Hg 2.96, 3 La 3.30
Hg  0.8405  0.9244  0.0000  2 Hg 2.96, 3 La 3.30
Hg  0.9244  0.1595  0.0000  2 Hg 2.96, 3 La 3.30

Computed properties:
Fermi-level density of states = 14.5 states/eV per cell
Total moment = 0.0 μB per formula unit
Energy = -5.53 eV per formula unit
Space-group type = I4/m, No. 87
Energy of formation = -15 kJ/mol of atoms
V = 528.4 Å³/cell

***

# 7
Crystalline LaHg3 at its relaxed geometry. Source: the Alexandria database, functional PBE.

a b c (Å): 6.8375 6.8375 10.6593
angles (deg): 90.00 90.00 120.00
With the nearest neighbours (Å) after each atom.
Fractional coordinates of all 16 atoms:
La  0.0000  0.0000  0.0000  12 Hg 3.35-3.42
La  0.0000  0.0000  0.5000  12 Hg 3.35-3.42
La  0.3333  0.6667  0.2500  12 Hg 3.32-3.42
La  0.6667  0.3333  0.7500  12 Hg 3.32-3.42
Hg  0.0000  0.5000  0.0000  8 Hg 3.30-3.42, 4 La 3.32-3.42
Hg  0.0000  0.5000  0.5000  8 Hg 3.30-3.42, 4 La 3.32-3.42
Hg  0.1708  0.3416  0.7500  8 Hg 3.30-3.50, 4 La 3.35-3.42
Hg  0.1708  0.8292  0.7500  8 Hg 3.30-3.50, 4 La 3.35-3.42
Hg  0.3416  0.1708  0.2500  8 Hg 3.30-3.50, 4 La 3.35-3.42
Hg  0.5000  0.0000  0.0000  8 Hg 3.30-3.42, 4 La 3.32-3.42
Hg  0.5000  0.0000  0.5000  8 Hg 3.30-3.42, 4 La 3.32-3.42
Hg  0.5000  0.5000  0.0000  8 Hg 3.30-3.42, 4 La 3.32-3.42
Hg  0.5000  0.5000  0.5000  8 Hg 3.30-3.42, 4 La 3.32-3.42
Hg  0.6584  0.8292  0.7500  8 Hg 3.30-3.50, 4 La 3.35-3.42
Hg  0.8292  0.1708  0.2500  8 Hg 3.30-3.50, 4 La 3.35-3.42
Hg  0.8292  0.6584  0.2500  8 Hg 3.30-3.50, 4 La 3.35-3.42

Computed properties:
Fermi-level density of states = 19.3 states/eV per cell
Total moment = 0.0 μB per formula unit
Energy = -7.38 eV per formula unit
Space-group type = P6_3/mmc, No. 194
Energy of formation = -37 kJ/mol of atoms
V = 431.6 Å³/cell

***

# 8
Crystalline LaHg at its relaxed geometry. Source: the Alexandria database, functional PBE.

a b c (Å): 3.7148 3.7148 11.3542
angles (deg): 90.00 90.00 120.00
With the nearest neighbours (Å) after each atom.
Fractional coordinates of all 4 atoms:
La  0.3333  0.6667  0.0000  4 Hg 3.21-3.27
La  0.6667  0.3333  0.5000  4 Hg 3.21-3.27
Hg  0.3333  0.6667  0.7173  4 La 3.21-3.27
Hg  0.6667  0.3333  0.2173  4 La 3.21-3.27

Computed properties:
Fermi-level density of states = 4.6 states/eV per cell
Total moment = 0.0 μB per formula unit
Energy = -5.31 eV per formula unit
Space-group type = P6_3mc, No. 186
Energy of formation = -4 kJ/mol of atoms
V = 135.7 Å³/cell

***

# 9
Crystalline La4Hg at its relaxed geometry. Source: the Alexandria database, functional PBE.

a b c (Å): 6.4929 9.2921 6.1716
angles (deg): 90.00 112.42 90.00
With the nearest neighbours (Å) after each atom.
Fractional coordinates of all 10 atoms:
La  0.1918  0.1539  0.0648  2 Hg 3.24-3.29
La  0.1918  0.8461  0.5648  2 Hg 3.24-3.29
La  0.2460  0.4260  0.5088  1 Hg 3.26, 7 La 3.38-3.65
La  0.2460  0.5740  0.0088  1 Hg 3.26, 7 La 3.38-3.65
La  0.7540  0.4260  0.9912  1 Hg 3.26, 7 La 3.38-3.65
La  0.7540  0.5740  0.4912  1 Hg 3.26, 7 La 3.38-3.65
La  0.8082  0.1539  0.4352  2 Hg 3.24-3.29
La  0.8082  0.8461  0.9352  2 Hg 3.24-3.29
Hg  0.5000  0.1297  0.7500  6 La 3.24-3.29
Hg  0.5000  0.8703  0.2500  6 La 3.24-3.29

Computed properties:
Fermi-level density of states = 14.4 states/eV per cell
Total moment = 0.0 μB per formula unit
Energy = -20.48 eV per formula unit
Space-group type = P2/c, No. 13
Energy above the most stable polymorph in this dataset = 0.50 eV/f.u.
Energy of formation = -9 kJ/mol of atoms
V = 344.2 Å³/cell

***

# 10
Crystalline LaHg at its relaxed geometry. Source: the Alexandria database, functional PBE.

a b c (Å): 5.5720 5.5720 13.9358
angles (deg): 90.00 90.00 120.00
With the nearest neighbours (Å) after each atom.
Fractional coordinates of all 12 atoms:
La  0.0000  0.0000  0.1692  4 Hg 3.15-3.23, 3 La 3.45
La  0.0000  0.0000  0.8308  4 Hg 3.15-3.23, 3 La 3.45
La  0.3333  0.6667  0.0790  4 Hg 3.17-3.36, 3 La 3.45
La  0.3333  0.6667  0.3997  7 Hg 3.22-3.38
La  0.6667  0.3333  0.6003  7 Hg 3.22-3.38
La  0.6667  0.3333  0.9210  4 Hg 3.17-3.36, 3 La 3.45
Hg  0.0000  0.0000  0.3954  4 Hg 2.91-3.26, 4 La 3.15-3.22
Hg  0.0000  0.0000  0.6046  4 Hg 2.91-3.26, 4 La 3.15-3.22
Hg  0.3333  0.6667  0.6419  4 Hg 2.92-3.26, 3 La 3.27
Hg  0.3333  0.6667  0.8514  1 Hg 2.92, 4 La 3.17-3.23
Hg  0.6667  0.3333  0.1486  1 Hg 2.92, 4 La 3.17-3.23
Hg  0.6667  0.3333  0.3581  4 Hg 2.92-3.26, 3 La 3.27

Computed properties:
Fermi-level density of states = 10.3 states/eV per cell
Total moment = 0.0 μB per formula unit
Energy = -5.82 eV per formula unit
Space-group type = P-3m1, No. 164
Energy of formation = -29 kJ/mol of atoms
V = 374.7 Å³/cell